(1)
The following is a PBE calculation of TiBr after structural relaxation, from Alexandria.

```
TiBr
1.0
7.906 0.000 0.000
0.000 7.906 0.000
0.000 0.000 3.465
Ti Br
4 4
direct
0.087 0.087 0.000 Ti
0.413 0.587 0.500 Ti
0.587 0.413 0.500 Ti
0.913 0.913 0.000 Ti
0.228 0.772 0.000 Br
0.272 0.272 0.500 Br
0.728 0.728 0.500 Br
0.772 0.228 0.000 Br
```

Properties
* total magnetic moment: 0.000 Bohr magnetons per cell
* density of states at the Fermi level: 0.40 states/eV/atom
* space group: P4_2/mnm (136)
* formation energy from raw total energies: -0.113 eV/atom



(2)
The following is a PBE calculation of TiBr after structural relaxation, from Alexandria.

```
TiBr
1.0
3.383 0.000 0.000
0.000 12.236 0.000
0.000 0.000 6.274
Ti Br
6 6
direct
0.250 0.134 0.003 Ti
0.250 0.366 0.003 Ti
0.250 0.750 0.264 Ti
0.750 0.250 0.736 Ti
0.750 0.634 0.997 Ti
0.750 0.866 0.997 Ti
0.250 0.250 0.367 Br
0.250 0.538 0.265 Br
0.250 0.962 0.265 Br
0.750 0.038 0.735 Br
0.750 0.462 0.735 Br
0.750 0.750 0.633 Br
```

Properties
* total magnetic moment: 1.321 Bohr magnetons per cell
* density of states at the Fermi level: 0.82 states/eV/atom
* space group: Pmmn (59)
* formation energy from raw total energies: -0.546 eV/atom



Q: The lowest total magnetic moment belongs to which entry?
A: number 1



Q: Which formula does entry 2 have?
A: TiBr



Q: total magnetic moment of number 1 (TiBr)?
A: 0.000 Bohr magnetons per cell



What did the first record say?
The following is a PBE calculation of TiBr after structural relaxation, from Alexandria.

```
TiBr
1.0
7.906 0.000 0.000
0.000 7.906 0.000
0.000 0.000 3.465
Ti Br
4 4
direct
0.087 0.087 0.000 Ti
0.413 0.587 0.500 Ti
0.587 0.413 0.500 Ti
0.913 0.913 0.000 Ti
0.228 0.772 0.000 Br
0.272 0.272 0.500 Br
0.728 0.728 0.500 Br
0.772 0.228 0.000 Br
```

Properties
* total magnetic moment: 0.000 Bohr magnetons per cell
* density of states at the Fermi level: 0.40 states/eV/atom
* space group: P4_2/mnm (136)
* formation energy from raw total energies: -0.113 eV/atom